Record 1
Computed, not measured: a geometry-optimized HoTm3Co structure at the PBE level of DFT.

a = 7.7237 Å, b = 10.0381 Å, c = 7.1634 Å
α = 90.00°, β = 90.00°, γ = 90.00°
Space group Imma (No. 74)
One atom of each set of equivalent atoms:
1 Ho 0.0000 0.2500 0.0038 [4 per cell]
2 Tm 0.0000 0.2500 0.4948 [4 per cell]
3 Tm 0.2500 0.0093 0.7500 [8 per cell]
4 Co 0.2500 0.2500 0.2500 [4 per cell]

formation energy from the elements: -0.077 eV/atom
D(E_F): 1.135 states/eV per atom
total moment: 0.00 μB/atom

***

Record 2
Computed, not measured: a geometry-optimized RbGaTe3 structure at the PBE level of DFT.

a = 5.5983 Å, b = 5.5983 Å, c = 5.5983 Å
α = 90.00°, β = 90.00°, γ = 90.00°
Space group Pm-3m (No. 221)
One atom of each set of equivalent atoms:
1 Rb 0.0000 0.0000 0.0000 [1 per cell]
2 Ga 0.5000 0.5000 0.5000 [1 per cell]
3 Te 0.0000 0.5000 0.5000 [3 per cell]

uncorrected formation energy: -0.1931 eV per atom
D(E_F): 1.128 states/eV per atom
total moment: 0.00 μB/atom

***

Record 3
Computed, not measured: a geometry-optimized VAg3Cl7 structure at the PBE level of DFT.

a = 12.0645 Å, b = 7.8750 Å, c = 7.1500 Å
α = 90.00°, β = 117.94°, γ = 90.00°
Space group Cm (No. 8)
One atom of each set of equivalent atoms:
1 V 0.0000 0.0000 0.0000 [2 per cell]
2 Ag 0.1189 0.2444 0.5619 [4 per cell]
3 Ag 0.1696 0.5000 0.0622 [2 per cell]
4 Cl 0.0333 0.5000 0.6611 [2 per cell]
5 Cl 0.1222 0.0000 0.8196 [2 per cell]
6 Cl 0.1527 0.2095 0.2357 [4 per cell]
7 Cl 0.3768 0.2884 0.8081 [4 per cell]
8 Cl 0.4161 0.5000 0.2377 [2 per cell]

uncorrected formation energy: -0.7222 eV per atom
D(E_F): 0.564 states/eV per atom
total moment: 0.09 μB/atom